Density functional theory data (PBE) for a geometry-optimized Be2Zn structure.

The calculation puts the volume at 10.247 Å³ per atom. For the formation energy, the calculation gives 0.474 eV per formula unit. The crystal system is monoclinic. The energy relative to the lowest polymorph listed for this composition comes out at 28 kJ/mol of formula units.

The space group is C2/m (No. 12) and the conventional cell measures 8.732, 2.536 and 5.729 Å, with angles of 90.00, 104.25 and 90.00 degrees. The distinct sites, in fractional coordinates, are Be at (0.027, 0.000, 0.276), Be at (0.133, 0.500, 0.028) and Zn at (0.186, 0.500, 0.648).

Density functional theory data (PBE) for a geometry-optimized BeZn5 structure.

The calculation puts the volume at 15.665 Å³ per atom. For the formation energy, the calculation gives 2.130 eV per formula unit. The crystal system is hexagonal. The energy relative to the lowest polymorph listed for this composition comes out at 155 kJ/mol of formula units.

The space group is P6/mmm (No. 191) and the conventional cell measures 4.8429, 4.8429 and 4.6276 Å, with angles of 90.00, 90.00 and 120.00 degrees. The distinct sites, in fractional coordinates, are Be at (0.0000, 0.0000, 0.0000), Zn at (0.0000, 0.5000, 0.5000) and Zn at (0.3333, 0.6667, 0.0000).

Density functional theory data (PBE) for a geometry-optimized BeZn3 structure.

The calculation puts the volume at 13.444 Å³ per atom. For the formation energy, the calculation gives 0.936 eV per formula unit. The crystal system is cubic.

The space group is Fm-3m (No. 225) and the conventional cell measures 5.992, 5.992 and 5.992 Å, with angles of 90.00, 90.00 and 90.00 degrees. The distinct sites, in fractional coordinates, are Be at (0.000, 0.000, 0.000), Zn at (0.000, 0.000, 0.500) and Zn at (0.250, 0.250, 0.250).

Density functional theory data (PBE) for a geometry-optimized Be6Zn structure.

The calculation puts the volume at 13.473 Å³ per atom. For the formation energy, the calculation gives 8.866 eV per formula unit. The crystal system is cubic. The energy relative to the lowest polymorph listed for this composition comes out at 766 kJ/mol of formula units.

The space group is Im-3m (No. 229) and the conventional cell measures 5.735, 5.735 and 5.735 Å, with angles of 90.00, 90.00 and 90.00 degrees. The distinct sites, in fractional coordinates, are Be at (0.000, 0.250, 0.500) and Zn at (0.000, 0.000, 0.000).

Density functional theory data (PBE) for a geometry-optimized BeZn3 structure.

The calculation puts the volume at 13.379 Å³ per atom. For the formation energy, the calculation gives 0.680 eV per formula unit. The crystal system is orthorhombic.

The space group is Pmmm (No. 47) and the conventional cell measures 2.581, 3.687 and 5.623 Å, with angles of 90.00, 90.00 and 90.00 degrees. The distinct sites, in fractional coordinates, are Be at (0.000, 0.000, 0.000), Zn at (0.000, 0.000, 0.500) and Zn at (0.500, 0.500, 0.229).

Density functional theory data (PBE) for a geometry-optimized Be4Zn5 structure.

The calculation puts the volume at 12.007 Å³ per atom. For the formation energy, the calculation gives 2.516 eV per formula unit. The crystal system is hexagonal. The energy relative to the lowest polymorph listed for this composition comes out at 70 kJ/mol of formula units.

The space group is P6_3/mcm (No. 193) and the conventional cell measures 6.9589, 6.9589 and 5.1534 Å, with angles of 90.00, 90.00 and 120.00 degrees. The distinct sites, in fractional coordinates, are Be at (0.0000, 0.0000, 0.0000), Be at (0.0000, 0.3375, 0.2500), Zn at (0.0000, 0.3174, 0.7500) and Zn at (0.3333, 0.6667, 0.0000).

Density functional theory data (PBE) for a geometry-optimized ZrBe2Zn structure.

The calculation puts the volume at 13.535 Å³ per atom. For the formation energy, the calculation gives 0.168 eV per formula unit. The crystal system is tetragonal.

The space group is P4/mmm (No. 123) and the conventional cell measures 2.928, 2.928 and 6.316 Å, with angles of 90.00, 90.00 and 90.00 degrees. The distinct sites, in fractional coordinates, are Zr at (0.000, 0.000, 0.000), Be at (0.500, 0.500, 0.295) and Zn at (0.000, 0.000, 0.500).

Density functional theory data (PBE) for a geometry-optimized ZrBe2Zn structure.

The calculation puts the volume at 14.422 Å³ per atom. For the formation energy, the calculation gives 1.656 eV per formula unit. The crystal system is trigonal.

The space group is R-3m (No. 166, hexagonal axes) and the conventional cell measures 2.7905, 2.7905 and 25.6640 Å, with angles of 90.00, 90.00 and 120.00 degrees. The distinct sites, in fractional coordinates, are Zr at (0.0000, 0.0000, 0.0000), Be at (0.0000, 0.0000, 0.2416) and Zn at (0.0000, 0.0000, 0.5000).

Density functional theory data (PBE) for a geometry-optimized ZrBe2Zn structure.

The calculation puts the volume at 14.398 Å³ per atom. For the formation energy, the calculation gives 1.025 eV per formula unit. The crystal system is monoclinic.

The space group is C2/m (No. 12) and the conventional cell measures 5.762, 7.721 and 2.594 Å, with angles of 90.00, 93.57 and 90.00 degrees. The distinct sites, in fractional coordinates, are Zr at (0.000, 0.000, 0.000), Be at (0.250, 0.250, 0.500) and Zn at (0.000, 0.500, 0.000).

Density functional theory data (PBE) for a geometry-optimized Zr2Be15Zn2 structure.

The calculation puts the volume at 10.078 Å³ per atom. For the formation energy, the calculation gives -3.779 eV per formula unit. The crystal system is trigonal.

The space group is R-3m (No. 166, hexagonal axes) and the conventional cell measures 7.6765, 7.6765 and 11.2562 Å, with angles of 90.00, 90.00 and 120.00 degrees. The distinct sites, in fractional coordinates, are Zr at (0.0000, 0.0000, 0.1566), Be at (0.0000, 0.2947, 0.5000), Be at (0.0000, 0.5000, 0.0000), Be at (0.0073, 0.5036, 0.6577) and Zn at (0.0000, 0.0000, 0.3958).

Density functional theory data (PBE) for a geometry-optimized Zr4BeZn structure.

The calculation puts the volume at 19.159 Å³ per atom. For the formation energy, the calculation gives -0.744 eV per formula unit. The crystal system is tetragonal. The energy relative to the lowest polymorph listed for this composition comes out at 0 kJ/mol of formula units.

The space group is I422 (No. 97) and the conventional cell measures 6.995, 6.995 and 4.699 Å, with angles of 90.00, 90.00 and 90.00 degrees. The distinct sites, in fractional coordinates, are Zr at (0.155, 0.345, 0.250), Be at (0.000, 0.000, 0.000) and Zn at (0.000, 0.000, 0.500).

Density functional theory data (PBE) for a geometry-optimized ZrBe2Zn structure.

The calculation puts the volume at 13.899 Å³ per atom. For the formation energy, the calculation gives -0.326 eV per formula unit. The crystal system is monoclinic.

The space group is Cm (No. 8) and the conventional cell measures 6.435, 3.725 and 5.121 Å, with angles of 90.00, 115.06 and 90.00 degrees. The distinct sites, in fractional coordinates, are Zr at (0.000, 0.000, 0.000), Be at (0.289, 0.500, 0.367), Be at (0.476, 0.000, 0.426) and Zn at (0.203, 0.000, 0.606).

Here are the calculated magnetization numbers, same order: 0.00 0.00 0.00 0.00 0.00 0.00 0.00 0.00 0.07 0.00 0.00 0.00 (μB per cell).
Here are the calculated final energy numbers, same order: -2.75 -1.33 -1.65 -2.11 -1.72 -2.08 -4.28 -3.90 -4.06 -4.17 -6.66 -4.40 (eV per atom).